# 1
TlSi2HgBi, optimized geometry, DFT PBE; M_tot = 0.0 μB per cell; formation energy from raw total energies = 5.2 eV/f.u.; DOS(E_F) = 0.49 states/eV/atom; symmetry = P4/mmm, No. 123
1.0
5.2486 0.0000 0.0000
0.0000 5.4819 0.0000
0.0000 0.0000 5.2486
Tl Si Bi Hg
1 2 1 1
Direct
0.0000 0.0000 0.0000
0.0000 0.0000 0.5000
0.5000 0.0000 0.0000
0.5000 0.5000 0.5000
0.0000 0.5000 0.0000

# 2
RbTiHgSb2, optimized geometry, DFT PBE; M_tot = 0.2 μB per cell; formation energy from raw total energies = 7.8 eV/f.u.; DOS(E_F) = 3.43 states/eV/atom; energy relative to the lowest polymorph listed for this composition = 8.94 eV per formula unit; symmetry = P4/mmm, No. 123
1.0
-1.7085 3.4160 4.5899
-0.8513 -4.6809 3.1667
5.6520 0.2629 1.9081
Sb Hg Rb Ti
2 1 1 1
Direct
0.0000 0.0000 0.5000
0.5000 0.0000 0.0000
0.0000 0.5000 0.0000
0.0000 0.0000 0.0000
0.5000 0.5000 0.5000

# 3
Tb2PuNbN4, optimized geometry, DFT PBE; M_tot = 4.6 μB per cell; formation energy from raw total energies = -11.2 eV/f.u.; DOS(E_F) = 0.86 states/eV/atom; symmetry = P2/m, No. 10
1.0
3.3789 0.0000 0.0000
0.0000 5.8285 0.1160
0.0000 -2.0222 5.4978
Tb Pu Nb N
2 1 1 4
Direct
0.5000 0.0000 0.5000
0.0000 0.5000 0.5000
0.5000 0.5000 0.0000
0.0000 0.0000 0.0000
0.5000 0.2348 0.2283
0.5000 0.7652 0.7717
0.0000 0.2452 0.7667
0.0000 0.7548 0.2333

Please write out number 2 again, unchanged.
RbTiHgSb2, optimized geometry, DFT PBE; M_tot = 0.2 μB per cell; formation energy from raw total energies = 7.8 eV/f.u.; DOS(E_F) = 3.43 states/eV/atom; energy relative to the lowest polymorph listed for this composition = 8.94 eV per formula unit; symmetry = P4/mmm, No. 123
1.0
-1.7085 3.4160 4.5899
-0.8513 -4.6809 3.1667
5.6520 0.2629 1.9081
Sb Hg Rb Ti
2 1 1 1
Direct
0.0000 0.0000 0.5000
0.5000 0.0000 0.0000
0.0000 0.5000 0.0000
0.0000 0.0000 0.0000
0.5000 0.5000 0.5000

Q: Among the records above, which one has the highest M_tot?
A: Tb2PuNbN4